# CdCoNi2Os

CdCoNi2Os after structural relaxation (PBE, Alexandria).

Computed properties:
Calculated formation energy = 2.236 eV per atom
Total magnetization = 4.98 μB/cell
Symmetry = No. 123

Cell lengths 4.5269, 4.5269, 4.9472 Å; angles 90.00, 90.00, 90.00 degrees
Sites, in units of the cell vectors:
Cd 0.0000 0.0000 0.0000
Co 0.5000 0.5000 0.5000
Ni 0.0000 0.5000 0.0000
Ni 0.5000 0.0000 0.0000
Os 0.0000 0.0000 0.5000

=====

# CdCoNi2Pb

CdCoNi2Pb after structural relaxation (PBE, Alexandria).

Computed properties:
Calculated formation energy = 1.188 eV per atom
Total magnetization = 1.14 μB/cell
Symmetry = No. 123

Cell lengths 4.7704, 4.7704, 4.8263 Å; angles 90.00, 90.00, 90.00 degrees
Sites, in units of the cell vectors:
Cd 0.0000 0.0000 0.0000
Co 0.5000 0.5000 0.0000
Ni 0.0000 0.5000 0.5000
Ni 0.5000 0.0000 0.5000
Pb 0.5000 0.5000 0.5000

=====

# CdCoNiS2

CdCoNiS2 after structural relaxation (PBE, Alexandria).

Computed properties:
Total magnetization = 3.04 μB/cell
Raw formation energy = 1.47 eV/atom
Symmetry = No. 123

Cell lengths 4.9050, 4.9050, 4.8135 Å; angles 90.00, 90.00, 90.00 degrees
Sites, in units of the cell vectors:
Cd 0.0000 0.0000 0.0000
Co 0.0000 0.0000 0.5000
Ni 0.5000 0.5000 0.5000
S 0.0000 0.5000 0.0000
S 0.5000 0.0000 0.0000

=====

# ScCdCo2Ni

ScCdCo2Ni after structural relaxation (PBE, Alexandria).

Computed properties:
Calculated formation energy = 1.022 eV per atom
Total magnetization = 1.28 μB/cell
Symmetry = No. 123

Cell lengths 4.4200, 4.4200, 4.4913 Å; angles 90.00, 90.00, 90.00 degrees
Sites, in units of the cell vectors:
Sc 0.0000 0.0000 0.0000
Cd 0.5000 0.5000 0.5000
Co 0.0000 0.5000 0.0000
Co 0.5000 0.0000 0.0000
Ni 0.0000 0.0000 0.5000